Mn2MoSe | GGA-PBEsol | optimized geometry

Calculated values
total DFT energy (no corrections)	-8.511	eV per atom
formation energy (no corrections)	0.27	eV per atom
space group	No. 65
M_tot	4.66	μB per cell
calculated volume	55.0	Å³/cell

Unit cell a=2.9931 b=4.4230 c=4.4230 alpha=109.93 beta=90.00 gamma=90.00
Last column: nearest neighbours and their distance in Å.
Fractional coordinates of all 4 atoms:
Se 0.5000 0.5000 0.5000  2 Mo 2.54, 8 Mn 2.67
Mn 0.0000 0.0000 0.5000  2 Mn 2.54, 4 Se 2.67, 4 Mo 2.67
Mn 0.0000 0.5000 0.0000  2 Mn 2.54, 4 Mo 2.67, 4 Se 2.67
Mo 0.5000 0.0000 0.0000  2 Se 2.54, 8 Mn 2.67